Record 1
## Mg (PBE)

Data for an optimized crystal structure of Mg.

Output
VASP energy = -0.909 eV per atom
theoretical density = 0.82 g/cm3

Cell: 9.2168 9.2168 9.2168 Å, 90.00 90.00 90.00°
Closest atoms and distances in Å follow each position.
Space group I-43m (No. 217)
Inequivalent atoms, fractional coordinates:
Mg1 0.1176 0.1176 0.8824 x8  7 Mg 2.89-3.13
Mg2 0.2011 0.2011 0.2011 x8  4 Mg 2.89-3.13

=====

Record 2
## TiCrS2 (PBE)

Data for an optimized crystal structure of TiCrS2.

Output
uncorrected formation energy = -1.44 eV/f.u.
theoretical density = 4.17 g/cm3

Cell: 3.1413 3.1413 22.9323 Å, 90.00 90.00 120.00°
Closest atoms and distances in Å follow each position.
Space group R-3m (No. 166, hexagonal axes)
Inequivalent atoms, fractional coordinates:
Ti1 0.0000 0.0000 0.0000 x3  6 S 2.41
Cr1 0.0000 0.0000 0.5000 x3  2 S 2.23
S1 0.0000 0.0000 0.4028 x6  1 Cr 2.23, 3 Ti 2.41

=====

Record 3
## BaUSe4 (PBE)

Data for an optimized crystal structure of BaUSe4.

Output
uncorrected formation energy = -6.77 eV/f.u.
theoretical density = 5.39 g/cm3

Cell: 5.4117 9.9312 7.9169 Å, 90.00 90.00 90.00°
Closest atoms and distances in Å follow each position.
Space group Pmmn (No. 59, origin choice 2)
Inequivalent atoms, fractional coordinates:
Ba1 0.2500 0.2500 0.0126 x2  9 Se 3.35-3.64
U1 0.2500 0.7500 0.4103 x2  5 Se 2.59-2.71
Se1 0.2500 0.2500 0.5821 x2  2 U 2.71
Se2 0.2500 0.5616 0.1834 x4  1 U 2.59
Se3 0.2500 0.7500 0.7382 x2  1 U 2.60

=====

Record 4
## TmSn2Ru (PBE)

Data for an optimized crystal structure of TmSn2Ru.

Output
VASP energy = -5.779 eV per atom
theoretical density = 9.66 g/cm3

Cell: 4.4926 4.4926 14.9635 Å, 90.00 90.00 120.00°
Closest atoms and distances in Å follow each position.
Space group R-3m (No. 166, hexagonal axes)
Inequivalent atoms, fractional coordinates:
Tm1 0.0000 0.0000 0.0000 x3  6 Sn 3.04
Sn1 0.0000 0.0000 0.2277 x6  3 Ru 2.75, 3 Tm 3.04
Ru1 0.0000 0.0000 0.5000 x3  6 Sn 2.75

=====

Record 5
## Ba2LiCaCl6 (PBE)

Data for an optimized crystal structure of Ba2LiCaCl6.

Output
uncorrected formation energy = -20.74 eV/f.u.
theoretical density = 3.25 g/cm3

Cell: 10.2894 10.2968 7.2737 Å, 90.00 134.96 90.00°
Closest atoms and distances in Å follow each position.
Space group C2/m (No. 12)
Inequivalent atoms, fractional coordinates:
Ba1 0.0000 0.2496 0.0000 x4  12 Cl 3.64-3.65
Li1 0.0000 0.0000 0.5000 x2  6 Cl 2.49
Ca1 0.0000 0.5000 0.5000 x2  6 Cl 2.65
Cl1 0.0000 0.2422 0.5000 x4  1 Li 2.49, 1 Ca 2.65
Cl2 0.2416 0.0000 0.4992 x4  1 Li 2.49, 1 Ca 2.65
Cl3 0.2423 0.0000 0.9842 x4  1 Li 2.49, 1 Ca 2.65

=====

Record 6
## NdEr3Ni8 (PBE)

Data for an optimized crystal structure of NdEr3Ni8.

Output
VASP energy = -5.828 eV per atom
theoretical density = 10.04 g/cm3

Cell: 5.0658 5.0658 24.9005 Å, 90.00 90.00 120.00°
Closest atoms and distances in Å follow each position.
Space group R3m (No. 160, hexagonal axes)
Inequivalent atoms, fractional coordinates:
Nd1 0.0000 0.0000 0.0000 x3  12 Ni 2.97-3.02, 4 Er 3.11-3.12
Er1 0.0000 0.0000 0.3763 x3  12 Ni 2.97-3.03, 1 Er 3.09, 3 Nd 3.11
Er2 0.0000 0.0000 0.5004 x3  12 Ni 2.94-2.97, 4 Er 3.09-3.10
Er3 0.0000 0.0000 0.8745 x3  12 Ni 2.93-2.97, 3 Er 3.10, 1 Nd 3.12
Ni1 0.0000 0.0000 0.1876 x3  6 Ni 2.51-2.52
Ni2 0.0000 0.0000 0.6881 x3  6 Ni 2.55-2.58
Ni3 0.0032 0.5016 0.4390 x9  6 Ni 2.51-2.56
Ni4 0.1669 0.3339 0.2696 x9  6 Ni 2.51-2.58

=====

Q: Which value of theoretical density does entry 5 give?
A: 3.25 g/cm3